LuPbNO | GGA-PBE | relaxed

## Properties
- ΔE to the lowest computed polymorph: 0.120 eV per atom

Unit cell a=3.661 b=5.779 c=7.178 alpha=90.00 beta=90.00 gamma=90.00
Fractional coordinates of all 8 atoms:
Lu  0.000  0.500  0.361
Lu  0.000  0.000  0.639
N  0.000  0.882  0.352
N  0.000  0.382  0.648
O  0.500  0.385  0.256
O  0.500  0.885  0.744
Pb  0.500  0.987  0.167
Pb  0.500  0.487  0.833